A geometry-optimized PaNiAg structure, computed with GGA-PBE.

Lattice parameters (Å, degrees): 6.285 6.285 6.285 90.00 90.00 90.00
Space group F-43m (No. 216)
Unique sites:
Pa (0.000, 0.000, 0.000) [4 per cell]
Ni (0.250, 0.250, 0.250) [4 per cell]
Ag (0.000, 0.000, 0.500) [4 per cell]

For the formation energy, the calculation gives 0.12 eV per atom. The calculation puts the energy relative to the lowest polymorph listed for this composition at 0 meV per atom. As for the uncorrected energy: -5.847 eV/atom.